A relaxed structure of TaFe2Au. Source: the Alexandria database, functional GGA-PBE.

Results
Calculated formation energy: 162 meV/atom
Excess energy over the best structure of this formula in the dataset: 0.1543 eV per atom

abc: 2.720 2.720 8.187
angles: 90.00 90.00 90.00
Each line ends with the local moment (μB).
Fractional positions:
Au1 0.500 0.500 0.750  0.09
Fe1 0.000 0.000 0.998  2.53
Fe2 0.000 0.000 0.502  2.53
Ta1 0.500 0.500 0.250  -0.20

***

A relaxed structure of TaFe3Au. Source: the Alexandria database, functional GGA-PBE.

Results
Calculated formation energy: 1613 meV/atom
Excess energy over the best structure of this formula in the dataset: 0.1896 eV per atom

abc: 4.645 4.645 4.645
angles: 90.00 90.00 90.00
Each line ends with the local moment (μB).
Fractional positions:
Au1 0.000 0.000 0.000  0.20
Fe1 0.000 0.500 0.000  3.08
Fe2 0.000 0.000 0.500  3.29
Fe3 0.500 0.000 0.000  2.76
Ta1 0.500 0.500 0.500  -1.20

***

A relaxed structure of TaFe2Au. Source: the Alexandria database, functional GGA-PBE.

Results
Calculated formation energy: 8 meV/atom
Excess energy over the best structure of this formula in the dataset: 0.0000 eV per atom

abc: 3.568 3.975 3.975
angles: 90.00 90.00 90.00
Each line ends with the local moment (μB).
Fractional positions:
Au1 0.500 0.000 0.500  -0.05
Fe1 0.000 0.000 0.000  1.36
Fe2 0.000 0.500 0.500  1.36
Ta1 0.500 0.500 0.000  -0.51

***

A relaxed structure of TaFe2Au. Source: the Alexandria database, functional GGA-PBE.

Results
Calculated formation energy: 107 meV/atom
Excess energy over the best structure of this formula in the dataset: 0.0991 eV per atom

abc: 4.353 4.353 4.353
angles: 60.00 60.00 60.00
Each line ends with the local moment (μB).
Fractional positions:
Au1 0.500 0.500 0.500  0.04
Fe1 0.250 0.250 0.250  2.16
Fe2 0.750 0.750 0.750  2.16
Ta1 0.000 0.000 0.000  -0.55

***

no.,raw total energy (eV per cell)
1,-31.405
2,-32.455
3,-32.023
4,-31.627